Record 1
Material: LiLa2Mo
Method: DFT, PBE-GGA
State: optimized geometry

```
16
Lattice="8.1123 0.0000 0.0000 0.0000 8.1123 0.0000 0.0000 0.0000 6.6401" Properties=species:S:1:pos:R:3 pbc="T T T"
Li 0.0000 0.0000 0.0000
Li 0.0000 4.0562 1.6600
Li 4.0562 0.0000 4.9801
Li 4.0562 4.0562 3.3201
La 1.5273 6.0842 4.1501
La 2.0281 1.5273 2.4900
La 2.0281 2.5289 5.8101
La 2.5289 6.0842 0.8300
La 5.5834 2.0281 0.8300
La 6.0842 5.5834 5.8101
La 6.0842 6.5851 2.4900
La 6.5851 2.0281 4.1501
Mo 0.0000 0.0000 3.3201
Mo 0.0000 4.0562 4.9801
Mo 4.0562 0.0000 1.6600
Mo 4.0562 4.0562 0.0000
```

Summary:
Its space group is I-42d. Its calculated total energy is -5.058 eV per atom. The mass density is 5.79 g/cm3. The calculation puts the excess energy over the best structure of this formula in the dataset at 0.301 eV per atom.

---

Record 2
Material: LiLaMo
Method: DFT, PBE-GGA
State: optimized geometry

```
3
Lattice="5.0629 0.0000 0.0000 -2.5314 4.3846 0.0000 0.0000 0.0000 2.7846" Properties=species:S:1:pos:R:3 pbc="T T T"
Li 0.0000 0.0000 0.0000
La 0.0000 2.9231 1.9780
Mo 2.5314 1.4615 0.7070
```

Summary:
Its space group is P3m1. Its calculated total energy is -5.317 eV per atom. The mass density is 6.50 g/cm3. The calculation puts the excess energy over the best structure of this formula in the dataset at 0.000 eV per atom.

---

Record 3
Material: LiLaMo2
Method: DFT, PBE-GGA
State: optimized geometry

```
4
Lattice="3.2799 0.0000 0.0000 0.0000 3.2799 0.0000 0.0000 0.0000 7.5720" Properties=species:S:1:pos:R:3 pbc="T T T"
Li 0.0000 0.0000 0.0000
La 1.6399 1.6399 5.0481
Mo 0.0000 0.0000 2.8578
Mo 1.6399 1.6399 1.5910
```

Summary:
Its space group is P4mm. Its calculated total energy is -6.794 eV per atom. The mass density is 6.88 g/cm3. The calculation puts the excess energy over the best structure of this formula in the dataset at 0.000 eV per atom.